Record 1
A relaxed Na2MnSb3Pt4 crystal. Source: Alexandria, functional PBE.

The calculation puts the energy relative to the elements, uncorrected at -3.88 eV/f.u. The final energy is -5.22 eV/atom.

a = 4.477 Å, b = 4.477 Å, c = 10.949 Å
α = 90.00°, β = 90.00°, γ = 90.00°
Fractional positions:
Na 0.000 0.500 0.248
Na 0.500 0.000 0.752
Mn 0.000 0.000 0.500
Sb 0.000 0.500 0.866
Sb 0.500 0.000 0.134
Sb 0.500 0.500 0.500
Pt 0.000 0.000 0.000
Pt 0.000 0.500 0.629
Pt 0.500 0.000 0.371
Pt 0.500 0.500 0.000


Record 2
A relaxed AlGaSb crystal. Source: Alexandria, functional PBE.

The calculation puts the energy relative to the elements, uncorrected at 0.14 eV/f.u. Its energy above the most stable polymorph in this dataset is 0.12 eV/f.u. The final energy is -3.58 eV/atom.

a = 4.006 Å, b = 6.134 Å, c = 6.376 Å
α = 64.90°, β = 74.81°, γ = 72.84°
Fractional positions:
Al 0.203 0.279 0.483
Al 0.797 0.721 0.517
Ga 0.480 0.716 0.186
Ga 0.520 0.284 0.814
Sb 0.126 0.804 0.808
Sb 0.874 0.196 0.192